DFT (PBE-GGA) results for a relaxed Cr3GeP crystal.

Results
Energy above the lowest structure with this stoichiometry in meV/atom: 0
Formation enthalpy at 0 K in meV per atom: 523

CIF file:
```
data_Cr3GeP
_chemical_formula_sum 'Cr3 Ge1 P1'
_cell_length_a 4.175
_cell_length_b 4.175
_cell_length_c 4.175
_cell_angle_alpha 90.00
_cell_angle_beta 90.00
_cell_angle_gamma 90.00
_symmetry_space_group_name_H-M 'P 1'
_symmetry_Int_Tables_number 1
_symmetry_space_group_name_Hall 'P 1'
loop_
_atom_site_label
_atom_site_fract_x
_atom_site_fract_y
_atom_site_fract_z
_atom_site_occupancy
Cr1 0.000 0.000 0.500 1
Cr2 0.000 0.500 0.000 1
Cr3 0.500 0.000 0.000 1
Ge1 0.500 0.500 0.500 1
P1 0.000 0.000 0.000 1
```

---

DFT (PBE-GGA) results for a relaxed PbS2Br2 crystal.

Results
Uncorrected formation energy in eV per atom: -0.3820

CIF file:
```
data_PbS2Br2
_chemical_formula_sum 'Pb1 S2 Br2'
_cell_length_a 4.236
_cell_length_b 4.236
_cell_length_c 11.306
_cell_angle_alpha 101.17
_cell_angle_beta 101.17
_cell_angle_gamma 64.14
_symmetry_space_group_name_H-M 'P 1'
_symmetry_Int_Tables_number 1
_symmetry_space_group_name_Hall 'P 1'
loop_
_atom_site_label
_atom_site_fract_x
_atom_site_fract_y
_atom_site_fract_z
_atom_site_occupancy
Pb1 0.000 0.000 0.000 1
S1 0.122 0.122 0.478 1
S2 0.878 0.878 0.522 1
Br1 0.403 0.403 0.160 1
Br2 0.597 0.597 0.840 1
```

---

Total magnetization (computed, μB/atom): 0.00 0.00
D(E_F) (computed, states/eV/f.u.): 7.58 0.56